This record from the Alexandria database describes a relaxed Pm3BiS crystal. The functional is PBE.

a b c (Å): 5.3532 5.3532 5.3532
angles (deg): 90.00 90.00 90.00
Atoms (fractional coordinates):
S 0.0000 0.0000 0.0000
Bi 0.5000 0.5000 0.5000
Pm 0.0000 0.5000 0.0000
Pm 0.0000 0.0000 0.5000
Pm 0.5000 0.0000 0.0000

volume: 30.7 A^3/atom
raw formation energy: -908 meV/atom
magnetic moment: 0.0 μB/f.u.
crystal system: cubic